# FeCu2As

A relaxed structure of FeCu2As (PBE, Alexandria).

Values from the calculation:
Formation enthalpy at 0 K (eV per atom): 0.161
Fermi-level density of states (states/eV/atom): 0.612
Density (g/cm3): 8.3

Cell lengths 4.1736, 4.1736, 4.1736 Å; angles 60.00, 60.00, 60.00 degrees
Closest atoms and distances in Å follow each position.
Fractional positions:
Fe1 0.0000 0.0000 0.0000  4 As 2.56, 4 Cu 2.56
Cu1 0.5000 0.5000 0.5000  4 As 2.56, 4 Cu 2.56
Cu2 0.7500 0.7500 0.7500  4 Fe 2.56, 4 Cu 2.56
As1 0.2500 0.2500 0.2500  4 Fe 2.56, 4 Cu 2.56